(1)
{
  "formula": "CuHRuPt2",
  "functional": "PBE-GGA",
  "state": "relaxed",
  "lattice_angstrom": [[3.943, 0.000, 0.000], [0.000, 3.943, 0.000], [0.000, 0.000, 3.928]],
  "species": ["Cu", "H", "Ru", "Pt", "Pt"],
  "frac_coords": [[0.000, 0.000, 0.000], [0.500, 0.500, 0.500], [0.500, 0.500, 0.000], [0.000, 0.500, 0.500], [0.500, 0.000, 0.500]],
  "magmom_total_mub_per_cell": 0.38,
  "volume_a3_per_cell": 61.1,
  "dft_energy_ev_per_atom": -5.6038,
  "spacegroup": "P4/mmm (123)",
  "mass_density_g_cm3": 15.12
}


(2)
{
  "formula": "CuSbHPt2",
  "functional": "PBE-GGA",
  "state": "relaxed",
  "lattice_angstrom": [[4.116, 0.000, 0.000], [0.000, 4.116, 0.000], [0.000, 0.000, 4.113]],
  "species": ["Cu", "Sb", "H", "Pt", "Pt"],
  "frac_coords": [[0.000, 0.000, 0.000], [0.500, 0.500, 0.000], [0.000, 0.000, 0.500], [0.000, 0.500, 0.500], [0.500, 0.000, 0.500]],
  "magmom_total_mub_per_cell": 0.00,
  "volume_a3_per_cell": 69.7,
  "dft_energy_ev_per_atom": -4.7170,
  "spacegroup": "P4/mmm (123)",
  "mass_density_g_cm3": 13.74
}


(3)
{
  "formula": "ScCuHPt2",
  "functional": "PBE-GGA",
  "state": "relaxed",
  "lattice_angstrom": [[4.056, 0.000, 0.000], [0.000, 4.056, 0.000], [0.000, 0.000, 3.983]],
  "species": ["Sc", "Cu", "H", "Pt", "Pt"],
  "frac_coords": [[0.000, 0.000, 0.000], [0.500, 0.500, 0.000], [0.500, 0.500, 0.500], [0.000, 0.500, 0.500], [0.500, 0.000, 0.500]],
  "magmom_total_mub_per_cell": 0.00,
  "volume_a3_per_cell": 65.5,
  "e_above_lowest_polymorph_mev_per_atom": 13.7,
  "spacegroup": "P4/mmm (123)",
  "mass_density_g_cm3": 12.66
}